## CuNiSN2 (GGA-PBEsol)

Data for a geometry-optimized CuNiSN2 structure.

The calculated volume comes out at 62 Å³ per cell. Its raw total energy is -5.2378 eV per atom. As for the energy relative to the elements, uncorrected: 5.7 eV per formula unit.

Cell and atoms, written as CIF:
```
data_CuNiSN2
_chemical_formula_sum 'Cu1 Ni1 S1 N2'
_symmetry_space_group_name_H-M 'P 4/m m m'
_symmetry_Int_Tables_number 123
_symmetry_space_group_name_Hall '-P 4 2'
_cell_length_a 3.4916
_cell_length_b 3.4916
_cell_length_c 5.0759
_cell_angle_alpha 90.00
_cell_angle_beta 90.00
_cell_angle_gamma 90.00
loop_
_atom_site_label
_atom_site_fract_x
_atom_site_fract_y
_atom_site_fract_z
_atom_site_occupancy
Cu1 0.0000 0.0000 0.0000 1
Ni1 0.5000 0.5000 0.5000 1
S1 0.5000 0.5000 0.0000 1
N1 0.0000 0.5000 0.5000 1
```

## CuN2O2 (GGA-PBEsol)

Data for a geometry-optimized CuN2O2 structure.

The calculated volume comes out at 103 Å³ per cell. Its energy above the most stable polymorph in this dataset is 0.00 eV per formula unit. Its raw total energy is -5.4657 eV per atom. As for the energy relative to the elements, uncorrected: 4.6 eV per formula unit.

Cell and atoms, written as CIF:
```
data_CuN2O2
_chemical_formula_sum 'Cu2 N4 O4'
_symmetry_space_group_name_H-M 'I 4/m m m'
_symmetry_Int_Tables_number 139
_symmetry_space_group_name_Hall '-I 4 2'
_cell_length_a 4.6358
_cell_length_b 4.6358
_cell_length_c 4.7966
_cell_angle_alpha 90.00
_cell_angle_beta 90.00
_cell_angle_gamma 90.00
loop_
_atom_site_label
_atom_site_fract_x
_atom_site_fract_y
_atom_site_fract_z
_atom_site_occupancy
Cu1 0.0000 0.0000 0.0000 1
N1 0.0000 0.0000 0.3831 1
O1 0.0000 0.5000 0.2500 1
```